Entry 1:
# PrInRh | Alexandria via LeMat-Bulk | GGA-PBE | optimized geometry
# Crystal system: hexagonal
# ΔH_f (0 K) (eV per formula unit): -2.08
data_PrInRh
_symmetry_space_group_name_H-M 'P -6 2 m'
_symmetry_Int_Tables_number 189
_symmetry_space_group_name_Hall 'P -6 -2'
_cell_length_a 7.6778
_cell_length_b 7.6778
_cell_length_c 4.0659
_cell_angle_alpha 90.00
_cell_angle_beta 90.00
_cell_angle_gamma 120.00
loop_
_atom_site_label
_atom_site_type_symbol
_atom_site_fract_x
_atom_site_fract_y
_atom_site_fract_z
Pr1 Pr 0.0000 0.5896 0.0000
In1 In 0.0000 0.2506 0.5000
Rh1 Rh 0.0000 0.0000 0.0000
Rh2 Rh 0.3333 0.6667 0.5000

=====

Entry 2:
# Hf6Ga3P | Alexandria via LeMat-Bulk | GGA-PBE | optimized geometry
# Crystal system: monoclinic
# ΔH_f (0 K) (eV per formula unit): -4.47
data_Hf6Ga3P
_symmetry_space_group_name_H-M 'P 1 21/c 1'
_symmetry_Int_Tables_number 14
_cell_length_a 6.214
_cell_length_b 7.277
_cell_length_c 10.701
_cell_angle_alpha 90.00
_cell_angle_beta 123.61
_cell_angle_gamma 90.00
loop_
_symmetry_equiv_pos_as_xyz
'x,y,z'
'-x,-y,-z'
'-x,y+1/2,-z+1/2'
'x,-y+1/2,z+1/2'
loop_
_atom_site_label
_atom_site_type_symbol
_atom_site_fract_x
_atom_site_fract_y
_atom_site_fract_z
Hf1 Hf 0.040 0.054 0.245
Hf2 Hf 0.186 0.681 0.060
Hf3 Hf 0.414 0.157 0.057
Ga1 Ga 0.328 0.138 0.750
Ga2 Ga 0.500 0.000 0.500
P1 P 0.000 0.000 0.000

=====

Entry 3:
# CaUTaO6 | Alexandria via LeMat-Bulk | GGA-PBE | optimized geometry
# Crystal system: trigonal
# Formation energy (no corrections) (eV per atom): -3.09
data_CaUTaO6
_symmetry_space_group_name_H-M 'P -3 1 c'
_symmetry_Int_Tables_number 163
_symmetry_space_group_name_Hall '-P 3 2c'
_cell_length_a 5.5904
_cell_length_b 5.5904
_cell_length_c 9.8034
_cell_angle_alpha 90.00
_cell_angle_beta 90.00
_cell_angle_gamma 120.00
loop_
_atom_site_label
_atom_site_type_symbol
_atom_site_fract_x
_atom_site_fract_y
_atom_site_fract_z
Ca1 Ca 0.0000 0.0000 0.0000
U1 U 0.3333 0.6667 0.2500
Ta1 Ta 0.3333 0.6667 0.7500
O1 O 0.0196 0.3728 0.6403

=====

Entry 4:
# Cs2NpAs2O6 | Alexandria via LeMat-Bulk | GGA-PBE | optimized geometry
# Crystal system: monoclinic
# Formation energy (no corrections) (eV per atom): -1.76
data_Cs2NpAs2O6
_symmetry_space_group_name_H-M 'C 1 2/m 1'
_symmetry_Int_Tables_number 12
_cell_length_a 10.418
_cell_length_b 6.955
_cell_length_c 6.690
_cell_angle_alpha 90.00
_cell_angle_beta 116.63
_cell_angle_gamma 90.00
loop_
_symmetry_equiv_pos_as_xyz
'x,y,z'
'-x,-y,-z'
'-x,y,-z'
'x,-y,z'
'x+1/2,y+1/2,z'
'-x+1/2,-y+1/2,-z'
'-x+1/2,y+1/2,-z'
'x+1/2,-y+1/2,z'
loop_
_atom_site_label
_atom_site_type_symbol
_atom_site_fract_x
_atom_site_fract_y
_atom_site_fract_z
Cs1 Cs 0.220 0.000 0.155
Np1 Np 0.000 0.000 0.500
As1 As 0.067 0.500 0.243
O1 O 0.018 0.201 0.298
O2 O 0.247 0.500 0.287

=====

Entry 5:
# Ca8SnP2 | Alexandria via LeMat-Bulk | GGA-PBE | optimized geometry
# Crystal system: monoclinic
# ΔH_f (0 K) (eV per formula unit): -6.05
data_Ca8SnP2
_symmetry_space_group_name_H-M 'C 1 2/m 1'
_symmetry_Int_Tables_number 12
_cell_length_a 9.117
_cell_length_b 13.333
_cell_length_c 5.684
_cell_angle_alpha 90.00
_cell_angle_beta 102.65
_cell_angle_gamma 90.00
loop_
_symmetry_equiv_pos_as_xyz
'x,y,z'
'-x,-y,-z'
'-x,y,-z'
'x,-y,z'
'x+1/2,y+1/2,z'
'-x+1/2,-y+1/2,-z'
'-x+1/2,y+1/2,-z'
'x+1/2,-y+1/2,z'
loop_
_atom_site_label
_atom_site_type_symbol
_atom_site_fract_x
_atom_site_fract_y
_atom_site_fract_z
Ca1 Ca 0.000 0.248 0.000
Ca2 Ca 0.121 0.500 0.789
Ca3 Ca 0.200 0.132 0.602
Sn1 Sn 0.000 0.000 0.000
P1 P 0.000 0.305 0.500

=====

Entry 6:
# Pu4Pd3Rh | Alexandria via LeMat-Bulk | GGA-PBE | optimized geometry
# Excess energy over the best structure of this formula in the dataset (eV/atom): 0.000
# Crystal system: orthorhombic
# ΔH_f (0 K) (eV per formula unit): -3.25
data_Pu4Pd3Rh
_symmetry_space_group_name_H-M 'F m m m'
_symmetry_Int_Tables_number 69
_symmetry_space_group_name_Hall '-F 2 2'
_cell_length_a 6.945
_cell_length_b 6.955
_cell_length_c 14.143
_cell_angle_alpha 90.00
_cell_angle_beta 90.00
_cell_angle_gamma 90.00
loop_
_atom_site_label
_atom_site_type_symbol
_atom_site_fract_x
_atom_site_fract_y
_atom_site_fract_z
Pu1 Pu 0.250 0.250 0.122
Pd1 Pd 0.000 0.000 0.000
Pd2 Pd 0.000 0.000 0.251
Rh1 Rh 0.000 0.000 0.500

=====

Entry 7:
# CaMg2CdIr | Alexandria via LeMat-Bulk | GGA-PBE | optimized geometry
# Crystal system: tetragonal
# ΔH_f (0 K) (eV per formula unit): -0.64
data_CaMg2CdIr
_symmetry_space_group_name_H-M 'P 4/m m m'
_symmetry_Int_Tables_number 123
_symmetry_space_group_name_Hall '-P 4 2'
_cell_length_a 4.968
_cell_length_b 4.968
_cell_length_c 5.275
_cell_angle_alpha 90.00
_cell_angle_beta 90.00
_cell_angle_gamma 90.00
loop_
_atom_site_label
_atom_site_type_symbol
_atom_site_fract_x
_atom_site_fract_y
_atom_site_fract_z
Ca1 Ca 0.000 0.000 0.000
Mg1 Mg 0.000 0.500 0.500
Cd1 Cd 0.500 0.500 0.000
Ir1 Ir 0.500 0.500 0.500

=====

Entry 8:
# Na5In3Sn3 | Alexandria via LeMat-Bulk | GGA-PBE | optimized geometry
# Crystal system: hexagonal
# ΔH_f (0 K) (eV per formula unit): 0.41
data_Na5In3Sn3
_symmetry_space_group_name_H-M 'P -6 2 m'
_symmetry_Int_Tables_number 189
_symmetry_space_group_name_Hall 'P -6 -2'
_cell_length_a 9.9167
_cell_length_b 9.9167
_cell_length_c 4.9175
_cell_angle_alpha 90.00
_cell_angle_beta 90.00
_cell_angle_gamma 120.00
loop_
_atom_site_label
_atom_site_type_symbol
_atom_site_fract_x
_atom_site_fract_y
_atom_site_fract_z
Na1 Na 0.0000 0.2912 0.0000
Na2 Na 0.3333 0.6667 0.0000
In1 In 0.0000 0.5287 0.5000
Sn1 Sn 0.0000 0.6654 0.0000

=====

Entry 9:
# Mn5FeN | Alexandria via LeMat-Bulk | GGA-PBE | optimized geometry
# Crystal system: tetragonal
# Formation energy (no corrections) (eV per atom): 0.08
data_Mn5FeN
_symmetry_space_group_name_H-M 'P 4/m m m'
_symmetry_Int_Tables_number 123
_symmetry_space_group_name_Hall '-P 4 2'
_cell_length_a 3.497
_cell_length_b 3.497
_cell_length_c 5.951
_cell_angle_alpha 90.00
_cell_angle_beta 90.00
_cell_angle_gamma 90.00
loop_
_atom_site_label
_atom_site_type_symbol
_atom_site_fract_x
_atom_site_fract_y
_atom_site_fract_z
Mn1 Mn 0.000 0.000 0.000
Mn2 Mn 0.000 0.500 0.299
Fe1 Fe 0.500 0.500 0.000
N1 N 0.500 0.500 0.500

=====

Entry 10:
# CsHg2BiSb | Alexandria via LeMat-Bulk | GGA-PBE | optimized geometry
# Excess energy over the best structure of this formula in the dataset (eV/atom): 0.013
# Crystal system: tetragonal
# Formation energy (no corrections) (eV per atom): -0.02
data_CsHg2BiSb
_symmetry_space_group_name_H-M 'P 4/m m m'
_symmetry_Int_Tables_number 123
_symmetry_space_group_name_Hall '-P 4 2'
_cell_length_a 6.077
_cell_length_b 6.077
_cell_length_c 6.010
_cell_angle_alpha 90.00
_cell_angle_beta 90.00
_cell_angle_gamma 90.00
loop_
_atom_site_label
_atom_site_type_symbol
_atom_site_fract_x
_atom_site_fract_y
_atom_site_fract_z
Cs1 Cs 0.000 0.000 0.000
Hg1 Hg 0.000 0.500 0.500
Bi1 Bi 0.500 0.500 0.500
Sb1 Sb 0.500 0.500 0.000

=====

Entry 11:
# MgMn2Ni2 | Alexandria via LeMat-Bulk | GGA-PBE | optimized geometry
# Crystal system: tetragonal
# ΔH_f (0 K) (eV per formula unit): 1.43
data_MgMn2Ni2
_symmetry_space_group_name_H-M 'I 4/m m m'
_symmetry_Int_Tables_number 139
_symmetry_space_group_name_Hall '-I 4 2'
_cell_length_a 3.753
_cell_length_b 3.753
_cell_length_c 9.558
_cell_angle_alpha 90.00
_cell_angle_beta 90.00
_cell_angle_gamma 90.00
loop_
_atom_site_label
_atom_site_type_symbol
_atom_site_fract_x
_atom_site_fract_y
_atom_site_fract_z
Mg1 Mg 0.000 0.000 0.000
Mn1 Mn 0.000 0.000 0.398
Ni1 Ni 0.000 0.500 0.250

=====

Entry 12:
# SrCaPd4 | Alexandria via LeMat-Bulk | GGA-PBE | optimized geometry
# Crystal system: cubic
# ΔH_f (0 K) (eV per formula unit): -3.90
data_SrCaPd4
_symmetry_space_group_name_H-M 'F -4 3 m'
_symmetry_Int_Tables_number 216
_symmetry_space_group_name_Hall 'F -4 2 3'
_cell_length_a 7.837
_cell_length_b 7.837
_cell_length_c 7.837
_cell_angle_alpha 90.00
_cell_angle_beta 90.00
_cell_angle_gamma 90.00
loop_
_atom_site_label
_atom_site_type_symbol
_atom_site_fract_x
_atom_site_fract_y
_atom_site_fract_z
Sr1 Sr 0.000 0.000 0.000
Ca1 Ca 0.250 0.250 0.750
Pd1 Pd 0.125 0.125 0.375

=====

no.,calculated density (g cm⁻³)
1,8.6
2,10.8
3,6.9
4,5.7
5,2.5
6,13.6
7,5.0
8,3.2
9,7.9
10,6.5
11,6.2
12,7.6